Density functional theory data (PBE+U) for a geometry-optimized SrLa2NiO5 structure.

Geometry as CIF:
```
data_SrLa2NiO5
_chemical_formula_sum 'Sr2 La4 Ni2 O10'
_symmetry_space_group_name_H-M 'P 4/m b m'
_symmetry_Int_Tables_number 127
_symmetry_space_group_name_Hall '-P 4 2ab'
_cell_length_a 6.793
_cell_length_b 6.793
_cell_length_c 5.740
_cell_angle_alpha 90.00
_cell_angle_beta 90.00
_cell_angle_gamma 90.00
loop_
_atom_site_label
_atom_site_fract_x
_atom_site_fract_y
_atom_site_fract_z
Sr1 0.000 0.000 0.000
La1 0.175 0.325 0.500
Ni1 0.000 0.500 0.000
O1 0.000 0.000 0.500
O2 0.139 0.639 0.232
```

- total DFT energy (no corrections) (eV/atom) = -6.986
- magnetic moment (μB per formula unit) = 0.0
- calculated density (g cm⁻³) = 6.3